1.
K2RbTlCl6 | PBE | relaxed

## Properties
For the formation energy without anion corrections, the calculation gives -1466 meV per atom. The calculation puts the total energy at -3.126 eV per atom. The density of states at the Fermi level is 0.0 states/eV per cell. The value obtained for the calculated volume is 35.16 Å³/atom.

Unit cell a=7.7740 b=7.7736 c=8.0797 alpha=61.24 beta=61.24 gamma=59.98
With the nearest neighbours (Å) after each atom.
Fractional positions:
K 0.5303 0.5302 0.4095  6 Cl 3.20-3.27
K 0.0201 0.0201 0.9399  6 Cl 3.11-3.30
Rb 0.8121 0.8120 0.5639  6 Cl 3.19-3.39
Tl 0.3233 0.3233 0.0301  6 Cl 2.64-2.66
Cl 0.5562 0.2172 0.2406  1 Tl 2.64
Cl 0.2170 0.9860 0.2405  1 Tl 2.64
Cl 0.9859 0.5566 0.2403  1 Tl 2.64
Cl 0.4145 0.6692 0.7835  1 Tl 2.66
Cl 0.6694 0.1326 0.7836  1 Tl 2.66
Cl 0.1329 0.4143 0.7834  1 Tl 2.66

=====

2.
KRbTl2Cl4 | PBE | relaxed

## Properties
For the formation energy without anion corrections, the calculation gives -1482 meV per atom. The calculation puts the total energy at -3.255 eV per atom. The density of states at the Fermi level is 0.0 states/eV per cell. The value obtained for the calculated volume is 34.72 Å³/atom.

Unit cell a=4.6170 b=7.9858 c=7.9924 alpha=70.50 beta=90.00 gamma=90.00
With the nearest neighbours (Å) after each atom.
Fractional positions:
K 0.0000 0.5000 0.5000  6 Cl 3.22
Rb 0.5000 0.5000 0.0000  6 Cl 3.28-3.29
Tl 0.0000 0.0000 0.0000  6 Cl 3.30-3.31
Tl 0.5000 0.0000 0.5000  6 Cl 3.24
Cl 0.0000 0.7501 0.7431  1 K 3.22, 3 Tl 3.24-3.31, 2 Rb 3.29
Cl 0.0000 0.2499 0.2569  1 K 3.22, 3 Tl 3.24-3.31, 2 Rb 3.29
Cl 0.5000 0.7457 0.2577  2 K 3.22, 3 Tl 3.24-3.30, 1 Rb 3.28
Cl 0.5000 0.2543 0.7423  2 K 3.22, 3 Tl 3.24-3.30, 1 Rb 3.28

=====

3.
KRbTlCl3 | PBE | relaxed

## Properties
For the formation energy without anion corrections, the calculation gives -1609 meV per atom. The calculation puts the total energy at -3.271 eV per atom. The density of states at the Fermi level is 0.0 states/eV per cell. The value obtained for the calculated volume is 34.96 Å³/atom.

Unit cell a=4.4603 b=8.0085 c=12.0380 alpha=102.70 beta=90.00 gamma=90.00
With the nearest neighbours (Å) after each atom.
Fractional positions:
K 0.2500 0.7685 0.0508  6 Cl 3.16-3.27
K 0.7500 0.2315 0.9492  6 Cl 3.16-3.27
Rb 0.7500 0.6534 0.6993  7 Cl 3.40-3.44
Rb 0.2500 0.3466 0.3007  7 Cl 3.40-3.44
Tl 0.2500 0.1390 0.6369  5 Cl 3.06-3.38
Tl 0.7500 0.8610 0.3631  5 Cl 3.06-3.38
Cl 0.2500 0.7241 0.4973  3 Tl 3.09-3.38, 3 Rb 3.40-3.44
Cl 0.7500 0.0488 0.1566  3 K 3.16-3.22, 1 Tl 3.18, 2 Rb 3.44
Cl 0.7500 0.5533 0.1611  1 Tl 3.06, 3 K 3.20-3.27
Cl 0.7500 0.2759 0.5027  3 Tl 3.09-3.38, 3 Rb 3.40-3.44
Cl 0.2500 0.4467 0.8389  1 Tl 3.06, 3 K 3.20-3.27
Cl 0.2500 0.9512 0.8434  3 K 3.16-3.22, 1 Tl 3.18, 2 Rb 3.44

=====

4.
KRb2TlCl4 | PBE | relaxed

## Properties
For the formation energy without anion corrections, the calculation gives -1715 meV per atom. The calculation puts the total energy at -3.314 eV per atom. The density of states at the Fermi level is 0.0 states/eV per cell. The value obtained for the calculated volume is 35.44 Å³/atom.

Unit cell a=4.6503 b=8.0342 c=8.0499 alpha=70.53 beta=90.00 gamma=90.00
With the nearest neighbours (Å) after each atom.
Fractional positions:
K 0.0000 0.5000 0.5000  6 Cl 3.23
Rb 0.0000 0.0000 0.0000  6 Cl 3.34
Rb 0.5000 0.0000 0.5000  6 Cl 3.30
Tl 0.5000 0.5000 0.0000  6 Cl 3.26-3.27
Cl 0.0000 0.7428 0.7484  1 K 3.23, 2 Tl 3.27, 3 Rb 3.30-3.34
Cl 0.0000 0.2572 0.2516  1 K 3.23, 2 Tl 3.27, 3 Rb 3.30-3.34
Cl 0.5000 0.7404 0.2566  2 K 3.23, 1 Tl 3.26, 3 Rb 3.30-3.34
Cl 0.5000 0.2596 0.7434  2 K 3.23, 1 Tl 3.26, 3 Rb 3.30-3.34

=====

5.
KRb4Tl3Cl8 | PBE | relaxed

## Properties
For the formation energy without anion corrections, the calculation gives -1600 meV per atom. The calculation puts the total energy at -3.278 eV per atom. The density of states at the Fermi level is 0.0 states/eV per cell. The value obtained for the calculated volume is 35.74 Å³/atom.

Unit cell a=9.3277 b=9.3066 c=9.3281 alpha=120.09 beta=120.00 gamma=90.00
With the nearest neighbours (Å) after each atom.
Fractional positions:
K 0.0000 0.5000 0.0000  6 Cl 3.24
Rb 0.5000 0.0000 0.0000  6 Cl 3.34-3.35
Rb 0.5000 0.0000 0.5000  6 Cl 3.31-3.32
Rb 0.0000 0.0000 0.0000  6 Cl 3.31-3.32
Rb 0.0000 0.0000 0.5000  6 Cl 3.31-3.32
Tl 0.5000 0.5000 0.0000  6 Cl 3.27-3.28
Tl 0.5000 0.5000 0.5000  6 Cl 3.27-3.28
Tl 0.0000 0.5000 0.5000  6 Cl 3.27-3.28
Cl 0.2457 0.7425 0.9968  1 K 3.24, 2 Tl 3.27, 3 Rb 3.32-3.35
Cl 0.2463 0.7432 0.4926  1 K 3.24, 2 Tl 3.27, 3 Rb 3.31-3.34
Cl 0.2514 0.2541 0.5028  3 Tl 3.28, 3 Rb 3.31
Cl 0.7511 0.7425 0.9968  1 K 3.24, 2 Tl 3.27, 3 Rb 3.32-3.35
Cl 0.2489 0.2575 0.0032  1 K 3.24, 2 Tl 3.27, 3 Rb 3.32-3.35
Cl 0.7486 0.7459 0.4972  3 Tl 3.28, 3 Rb 3.31
Cl 0.7537 0.2568 0.5074  1 K 3.24, 2 Tl 3.27, 3 Rb 3.31-3.34
Cl 0.7543 0.2575 0.0032  1 K 3.24, 2 Tl 3.27, 3 Rb 3.32-3.35

=====

6.
K2RbTl3Cl6 | PBE | relaxed

## Properties
For the formation energy without anion corrections, the calculation gives -1484 meV per atom. The calculation puts the total energy at -3.262 eV per atom. The density of states at the Fermi level is 0.0 states/eV per cell. The value obtained for the calculated volume is 34.30 Å³/atom.

Unit cell a=4.5933 b=9.1906 c=10.2711 alpha=102.80 beta=102.92 gamma=90.00
With the nearest neighbours (Å) after each atom.
Fractional positions:
K 0.8315 0.6636 0.6629  6 Cl 3.19-3.20
K 0.1685 0.3364 0.3371  6 Cl 3.19-3.20
Rb 0.5000 0.0000 0.0000  6 Cl 3.29-3.30
Tl 0.5000 0.5000 0.0000  6 Cl 3.21-3.27
Tl 0.8320 0.1672 0.6641  6 Cl 3.18-3.37
Tl 0.1680 0.8328 0.3359  6 Cl 3.18-3.37
Cl 0.3310 0.9061 0.6619  3 Tl 3.18-3.32, 2 K 3.20, 1 Rb 3.30
Cl 0.6676 0.5783 0.3352  3 K 3.20, 3 Tl 3.27-3.28
Cl 0.6690 0.0939 0.3381  3 Tl 3.18-3.32, 2 K 3.20, 1 Rb 3.30
Cl 0.0047 0.2589 0.0094  1 K 3.19, 3 Tl 3.21-3.37, 2 Rb 3.29
Cl 0.9953 0.7411 0.9906  1 K 3.19, 3 Tl 3.21-3.37, 2 Rb 3.29
Cl 0.3324 0.4217 0.6648  3 K 3.20, 3 Tl 3.27-3.28

=====

7.
KRb3Tl4Cl8 | PBE | relaxed

## Properties
For the formation energy without anion corrections, the calculation gives -1481 meV per atom. The calculation puts the total energy at -3.246 eV per atom. The density of states at the Fermi level is 0.0 states/eV per cell. The value obtained for the calculated volume is 35.39 Å³/atom.

Unit cell a=9.2990 b=9.2757 c=9.2974 alpha=120.10 beta=120.01 gamma=90.00
With the nearest neighbours (Å) after each atom.
Fractional positions:
K 0.0000 0.5000 0.0000  6 Cl 3.24
Rb 0.5000 0.5000 0.0000  6 Cl 3.30
Rb 0.5000 0.5000 0.5000  6 Cl 3.30
Rb 0.0000 0.5000 0.5000  6 Cl 3.30
Tl 0.5000 0.0000 0.0000  6 Cl 3.32-3.33
Tl 0.5000 0.0000 0.5000  6 Cl 3.26-3.27
Tl 0.0000 0.0000 0.0000  6 Cl 3.26
Tl 0.0000 0.0000 0.5000  6 Cl 3.26-3.27
Cl 0.2468 0.7497 0.0029  1 K 3.24, 3 Tl 3.26-3.33, 2 Rb 3.30
Cl 0.2471 0.7500 0.4943  1 K 3.24, 3 Tl 3.27-3.32, 2 Rb 3.30
Cl 0.2484 0.2455 0.4969  3 Tl 3.26, 3 Rb 3.30
Cl 0.7561 0.7497 0.0029  1 K 3.24, 3 Tl 3.26-3.33, 2 Rb 3.30
Cl 0.2439 0.2503 0.9971  1 K 3.24, 3 Tl 3.26-3.33, 2 Rb 3.30
Cl 0.7516 0.7545 0.5031  3 Tl 3.26, 3 Rb 3.30
Cl 0.7529 0.2500 0.5057  1 K 3.24, 3 Tl 3.27-3.32, 2 Rb 3.30
Cl 0.7532 0.2503 0.9971  1 K 3.24, 3 Tl 3.26-3.33, 2 Rb 3.30

=====

8.
K3RbTl2Cl6 | PBE | relaxed

## Properties
For the formation energy without anion corrections, the calculation gives -1643 meV per atom. The calculation puts the total energy at -3.315 eV per atom. The density of states at the Fermi level is 0.0 states/eV per cell. The value obtained for the calculated volume is 33.93 Å³/atom.

Unit cell a=7.9184 b=7.9184 c=7.9491 alpha=99.55 beta=99.55 gamma=120.01
With the nearest neighbours (Å) after each atom.
Fractional positions:
K 0.1675 0.8325 0.5000  6 Cl 3.17-3.21
K 0.8325 0.1675 0.5000  6 Cl 3.17-3.21
K 0.5000 0.5000 0.5000  6 Cl 3.17-3.21
Rb 0.0000 0.0000 0.0000  6 Cl 3.30-3.31
Tl 0.3335 0.6665 0.0000  6 Cl 3.27-3.28
Tl 0.6665 0.3335 0.0000  6 Cl 3.27-3.28
Cl 0.9138 0.5773 0.7410  3 K 3.17-3.21, 2 Tl 3.27, 1 Rb 3.30
Cl 0.7507 0.7507 0.2612  3 K 3.17-3.21, 2 Tl 3.28, 1 Rb 3.31
Cl 0.0862 0.4227 0.2590  3 K 3.17-3.21, 2 Tl 3.27, 1 Rb 3.30
Cl 0.5773 0.9138 0.7410  3 K 3.17-3.21, 2 Tl 3.27, 1 Rb 3.30
Cl 0.2493 0.2493 0.7388  3 K 3.17-3.21, 2 Tl 3.28, 1 Rb 3.31
Cl 0.4227 0.0862 0.2590  3 K 3.17-3.21, 2 Tl 3.27, 1 Rb 3.30

=====

9.
K2RbTmCl6 | PBE | relaxed

## Properties
For the formation energy without anion corrections, the calculation gives -2044 meV per atom. The calculation puts the total energy at -3.916 eV per atom. The density of states at the Fermi level is 0.0 states/eV per cell. The offset from the most stable computed form is 82 meV per atom. The value obtained for the calculated volume is 36.84 Å³/atom.

Unit cell a=8.0464 b=8.0464 c=8.0464 alpha=60.00 beta=60.00 gamma=60.00
With the nearest neighbours (Å) after each atom.
Fractional positions:
K 0.7500 0.7500 0.7500  12 Cl 4.03
K 0.2500 0.2500 0.2500  12 Cl 4.03
Rb 0.5000 0.5000 0.5000  6 Cl 3.09
Tm 0.0000 0.0000 0.0000  6 Cl 2.60
Cl 0.7719 0.2281 0.2281  1 Tm 2.60
Cl 0.2281 0.2281 0.7719  1 Tm 2.60
Cl 0.2281 0.7719 0.7719  1 Tm 2.60
Cl 0.2281 0.7719 0.2281  1 Tm 2.60
Cl 0.7719 0.2281 0.7719  1 Tm 2.60
Cl 0.7719 0.7719 0.2281  1 Tm 2.60

=====

10.
K2RbTmCl6 | PBE | relaxed

## Properties
For the formation energy without anion corrections, the calculation gives -2127 meV per atom. The calculation puts the total energy at -3.998 eV per atom. The density of states at the Fermi level is 0.0 states/eV per cell. The offset from the most stable computed form is 0 meV per atom. The value obtained for the calculated volume is 35.02 Å³/atom.

Unit cell a=7.7485 b=7.7486 c=8.0852 alpha=61.37 beta=61.37 gamma=60.00
With the nearest neighbours (Å) after each atom.
Fractional positions:
K 0.5305 0.5305 0.4085  6 Cl 3.20-3.28
K 0.0199 0.0199 0.9403  6 Cl 3.11-3.28
Rb 0.8127 0.8127 0.5618  6 Cl 3.21-3.40
Tm 0.3234 0.3234 0.0297  6 Cl 2.62-2.63
Cl 0.5563 0.2178 0.2380  1 Tm 2.62
Cl 0.2178 0.9879 0.2379  1 Tm 2.62
Cl 0.9879 0.5564 0.2379  1 Tm 2.62
Cl 0.4141 0.6655 0.7870  1 Tm 2.63
Cl 0.6655 0.1335 0.7870  1 Tm 2.63
Cl 0.1335 0.4140 0.7870  1 Tm 2.63